Record 1
The following is a DFT calculation (PBE-GGA) of PuGa2Ag3 after structural relaxation.

POSCAR file:
```
PuGa2Ag3
1.0
6.787 -2.264 0.000
6.787 2.264 0.000
-4.363 0.000 7.789
Pu Ga Ag
2 4 6
direct
0.149 0.149 0.029
0.851 0.851 0.971
0.203 0.203 0.718
0.441 0.441 0.832
0.559 0.559 0.168
0.797 0.797 0.282
0.062 0.062 0.348
0.302 0.302 0.475
0.420 0.420 0.297
0.580 0.580 0.703
0.698 0.698 0.525
0.938 0.938 0.652
```

Record 2
The following is a DFT calculation (PBE-GGA) of TcSn3H after structural relaxation.

POSCAR file:
```
TcSn3H
1.0
5.122 0.000 0.000
0.000 5.122 0.000
0.000 0.000 5.122
Tc Sn H
1 3 1
direct
0.000 0.000 0.000
0.000 0.000 0.500
0.000 0.500 0.000
0.500 0.000 0.000
0.500 0.500 0.500
```

Record 3
The following is a DFT calculation (PBE-GGA) of ThZn3Au3 after structural relaxation.

POSCAR file:
```
ThZn3Au3
1.0
6.590 0.000 0.000
0.000 4.544 0.000
-2.615 0.000 9.012
Th Zn Au
2 6 6
direct
0.142 0.250 0.276
0.858 0.750 0.724
0.185 0.250 0.904
0.443 0.750 0.854
0.494 0.250 0.693
0.506 0.750 0.307
0.557 0.250 0.146
0.815 0.750 0.096
0.080 0.250 0.609
0.224 0.750 0.051
0.363 0.750 0.550
0.637 0.250 0.450
0.776 0.250 0.949
0.920 0.750 0.391
```

Record 4
The following is a DFT calculation (PBE-GGA) of Sm6Er3Tm after structural relaxation.

POSCAR file:
```
Sm6Er3Tm
1.0
5.502 -9.591 0.000
5.502 9.591 0.000
0.000 0.000 6.234
Sm Er Tm
12 6 2
direct
0.041 0.959 0.500
0.055 0.478 0.937
0.278 0.722 0.233
0.288 0.377 0.126
0.377 0.288 0.626
0.478 0.055 0.437
0.522 0.945 0.937
0.623 0.712 0.126
0.712 0.623 0.626
0.722 0.278 0.733
0.945 0.522 0.437
0.959 0.041 0.000
0.055 0.277 0.552
0.277 0.055 0.052
0.388 0.612 0.658
0.612 0.388 0.158
0.723 0.945 0.552
0.945 0.723 0.052
0.200 0.800 0.707
0.800 0.200 0.207
```

Record 5
The following is a DFT calculation (PBE-GGA) of Ta2ZnPd after structural relaxation.

POSCAR file:
```
Ta2ZnPd
1.0
-3.661 3.661 2.649
3.661 -3.661 2.649
3.661 3.661 -2.649
Ta Zn Pd
4 2 2
direct
0.113 0.625 0.988
0.375 0.363 0.488
0.637 0.125 0.012
0.875 0.887 0.512
0.250 0.750 0.500
0.500 0.500 0.000
0.000 0.000 0.000
0.750 0.250 0.500
```

Record 6
The following is a DFT calculation (PBE-GGA) of Rb3NiBr5 after structural relaxation.

POSCAR file:
```
Rb3NiBr5
1.0
-4.690 4.690 7.580
4.690 -4.690 7.580
4.690 4.690 -7.580
Rb Ni Br
6 2 10
direct
0.163 0.663 0.826
0.250 0.250 0.000
0.337 0.163 0.500
0.663 0.837 0.500
0.750 0.750 0.000
0.837 0.337 0.174
0.250 0.750 0.500
0.750 0.250 0.500
0.000 0.000 0.000
0.011 0.789 0.500
0.211 0.711 0.222
0.289 0.511 0.500
0.489 0.989 0.778
0.500 0.500 0.000
0.511 0.011 0.222
0.711 0.489 0.500
0.789 0.289 0.778
0.989 0.211 0.500
```

no.,ρ (g/cm3),E (eV/cell),spin magnetization (μB per formula unit)
1,9.81,-59.05,5.72
2,5.63,-23.76,0.00
3,12.54,-48.07,0.00
4,7.94,-90.04,0.00
5,12.48,-57.23,0.00
6,3.56,-56.43,2.00